Record 1
4
Lattice="-3.332 -3.357 0.159 -1.067 -4.601 -0.300 0.236 -1.271 4.609" Properties=species:S:1:pos:R:3 comment="Zn2FeMo | Alexandria via LeMat-Bulk | GGA-PBE | optimized geometry" magnetic_moment_mub_per_cell=1.964 dft_energy_ry_per_atom=-0.38643 delta_e_f_ev_per_atom=0.2028 pbc="T T T"
Zn -2.116 -4.660 2.188
Mo -3.122 -6.922 3.351
Zn -4.365 -7.913 -0.096
Fe -1.041 -2.307 1.117

=====

Record 2
4
Lattice="2.958 0.000 0.000 -1.479 2.562 0.000 0.000 0.000 10.011" Properties=species:S:1:pos:R:3 comment="InTc | Alexandria via LeMat-Bulk | GGA-PBE | optimized geometry" magnetic_moment_mub_per_cell=0.000 dft_energy_ry_per_atom=-0.45943 delta_e_f_ev_per_atom=0.3013 pbc="T T T"
In 0.000 0.000 9.654
Tc 0.000 0.000 5.284
In 1.479 0.854 2.860
Tc 1.479 0.854 7.229

=====

Record 3
8
Lattice="4.460 0.000 0.000 0.000 4.460 0.000 2.230 2.230 4.444" Properties=species:S:1:pos:R:3 comment="CoIrN2 | Alexandria via LeMat-Bulk | GGA-PBE | optimized geometry" magnetic_moment_mub_per_cell=0.000 dft_energy_ry_per_atom=-0.56907 e_form_raw_ev_per_atom=0.412 pbc="T T T"
Ir 0.000 0.000 0.000
Co 2.230 2.230 0.000
Ir 4.460 2.230 2.222
Co 2.230 4.460 2.222
N 1.221 3.345 1.111
N 3.240 1.115 1.111
N 5.575 5.470 3.333
N 3.345 3.451 3.333

=====

Record 4
10
Lattice="3.829 0.000 -0.739 -0.284 5.295 -1.470 0.004 0.004 10.313" Properties=species:S:1:pos:R:3 comment="Dy4ErS5 | Alexandria via LeMat-Bulk | GGA-PBE | optimized geometry" magnetic_moment_mub_per_cell=0.000 dft_energy_ry_per_atom=-0.46615 e_form_raw_ev_per_atom=-1.981 pbc="T T T"
S 1.284 4.776 6.657
S 2.265 0.523 1.447
Dy 2.129 3.178 0.740
Dy 0.709 1.058 3.675
S -0.142 2.647 -0.735
Dy 2.840 4.240 4.429
Dy 1.421 2.120 7.364
S 0.570 3.709 2.953
Er 0.000 0.000 0.000
S 2.980 1.589 5.151

=====

Record 5
3
Lattice="4.557 0.000 0.000 0.000 4.557 0.000 -2.279 -2.279 3.674" Properties=species:S:1:pos:R:3 comment="PuBiH | Alexandria via LeMat-Bulk | GGA-PBE | optimized geometry" magnetic_moment_mub_per_cell=5.934 dft_energy_ry_per_atom=-0.51678 pbc="T T T"
Bi 0.000 0.000 0.051
Pu 2.279 2.279 0.502
H 0.000 0.000 2.018

=====

Record 6
4
Lattice="-3.534 1.799 2.686 -1.402 0.489 4.553 1.935 4.123 0.682" Properties=species:S:1:pos:R:3 comment="ZnW2Se | Alexandria via LeMat-Bulk | GGA-PBE | optimized geometry" magnetic_moment_mub_per_cell=0.000 dft_energy_ry_per_atom=-0.52760 e_form_raw_ev_per_atom=0.488 pbc="T T T"
Zn -0.750 1.603 1.980
W -1.517 3.190 3.970
Se -2.250 4.808 5.941
W -4.918 2.303 7.231